Here is crystalline BaGaH at its relaxed geometry from the Alexandria database. Energies are from PBE.

Calculated values
- Space-group type: Ama2 (40)
- E above lowest polymorph: 77.3 meV/atom
- Spin magnetization: 0.0 μB/f.u.
- Calculated total energy: -9.47 eV per formula unit

```
BaGaH
1.0
4.680 0.000 0.000
0.000 13.121 0.000
0.000 0.000 4.846
Ba Ga H
4 4 4
Cartesian
1.170 8.343 1.853
3.510 4.778 1.853
1.170 1.783 4.276
3.510 11.339 4.276
1.170 12.284 1.842
3.510 0.837 1.842
1.170 5.724 4.265
3.510 7.397 4.265
1.170 12.305 3.579
3.510 0.816 3.579
1.170 5.745 1.155
3.510 7.376 1.155
```

Here is crystalline PmNd4Tm3Se8 at its relaxed geometry from the Alexandria database. Energies are from PBE.

Calculated values
- E_form (uncorrected): -1.7718 eV/atom
- Space-group type: R-3m (166)
- Spin magnetization: 0.0 μB/f.u.
- Calculated total energy: -93.46 eV per formula unit

```
PmNd4Tm3Se8
1.0
-8.049 -0.756 1.382
-0.484 -5.843 -6.013
5.330 -1.013 6.151
Pm Nd Tm Se
1 4 3 8
Cartesian
-0.242 -2.922 -3.006
-4.024 -0.378 0.691
-1.359 -0.884 3.767
0.000 0.000 0.000
2.665 -0.507 3.076
-4.266 -3.299 -2.315
-1.601 -3.806 0.760
2.423 -3.428 0.069
2.894 -5.477 1.991
0.294 -4.984 -1.010
0.540 -2.299 1.887
-1.031 -5.846 2.665
-2.171 -1.767 -1.145
-3.742 -5.314 -0.366
-3.497 -2.628 2.531
-6.097 -2.135 -0.470
```

Here is crystalline In3PdRh at its relaxed geometry from the Alexandria database. Energies are from PBE.

Calculated values
- Space-group type: C2/c (15)
- E above lowest polymorph: 0.0 meV/atom
- Formation enthalpy at 0 K: -0.272 eV/atom
- Spin magnetization: 0.0 μB/f.u.
- Calculated total energy: -22.12 eV per formula unit

```
In3PdRh
1.0
6.391 0.000 0.000
-0.004 8.414 0.523
-0.004 2.220 8.133
In Pd Rh
12 4 4
Cartesian
3.139 4.482 7.876
0.047 2.012 5.866
3.243 6.152 0.780
6.335 8.621 2.789
6.338 6.149 0.773
3.240 8.628 2.791
0.045 4.485 7.882
3.142 2.006 5.864
3.190 4.097 3.336
-0.004 6.536 5.321
3.192 6.537 5.319
6.386 4.098 3.335
4.788 3.958 1.104
4.790 8.749 5.003
1.594 6.676 7.551
1.593 1.885 3.652
1.593 8.370 0.577
4.789 2.264 8.078
1.593 6.369 3.035
4.789 4.264 5.620
```

Here is crystalline HPdRu3 at its relaxed geometry from the Alexandria database. Energies are from PBE.

Calculated values
- Space-group type: Pm-3m (221)
- E above lowest polymorph: 0.0 meV/atom
- Spin magnetization: 0.0 μB/f.u.
- Calculated total energy: -35.27 eV per formula unit

```
HPdRu3
1.0
3.898 0.000 0.000
0.000 3.898 0.000
0.000 0.000 3.898
Ru Pd H
3 1 1
Cartesian
0.000 1.949 0.000
0.000 0.000 1.949
1.949 0.000 0.000
1.949 1.949 1.949
0.000 0.000 0.000
```

Here is crystalline SmTlAu2 at its relaxed geometry from the Alexandria database. Energies are from PBE.

Calculated values
- Space-group type: Fm-3m (225)
- Formation enthalpy at 0 K: -0.565 eV/atom
- Spin magnetization: 0.0 μB/f.u.
- Calculated total energy: -15.90 eV per formula unit

```
SmTlAu2
1.0
-0.087 5.079 -0.128
-4.138 2.510 1.549
0.111 2.653 4.332
Tl Au Sm
1 2 1
Cartesian
-2.057 5.121 2.876
-1.029 2.560 1.438
-3.086 7.681 4.314
0.000 0.000 0.000
```

Here is crystalline Rb3ZnRh at its relaxed geometry from the Alexandria database. Energies are from PBE.

Calculated values
- Space-group type: Pm-3m (221)
- Formation enthalpy at 0 K: 0.581 eV/atom
- Spin magnetization: 0.0 μB/f.u.
- Calculated total energy: -8.62 eV per formula unit

```
Rb3ZnRh
1.0
6.248 0.000 0.000
0.000 6.248 0.000
0.000 0.000 6.248
Zn Rh Rb
1 1 3
Cartesian
3.124 3.124 3.124
0.000 0.000 0.000
0.000 3.124 0.000
0.000 0.000 3.124
3.124 0.000 0.000
```

Here is crystalline PrYTl at its relaxed geometry from the Alexandria database. Energies are from PBE.

Calculated values
- Space-group type: P6_3/mmc (194)
- E above lowest polymorph: 0.0 meV/atom
- Formation enthalpy at 0 K: -0.284 eV/atom
- Spin magnetization: 0.0 μB/f.u.
- Calculated total energy: -14.46 eV per formula unit

```
PrYTl
1.0
5.532 0.000 0.000
-2.765 4.791 0.000
0.000 0.000 6.814
Pr Y Tl
2 2 2
Cartesian
-1.382 2.396 0.000
-1.382 2.396 3.407
1.383 3.994 5.110
1.384 0.798 1.703
1.382 0.799 5.110
1.385 3.993 1.703
```

Here is crystalline KMnSb2 at its relaxed geometry from the Alexandria database. Energies are from PBE.

Calculated values
- E_form (uncorrected): -0.1526 eV/atom
- Space-group type: Cm (8)
- E above lowest polymorph: 1.4 meV/atom
- Spin magnetization: 2.9 μB/f.u.
- Calculated total energy: -19.12 eV per formula unit

```
KMnSb2
1.0
-0.784 -3.528 -2.168
3.191 -2.324 -1.473
0.881 -5.988 5.328
Sb K Mn
2 1 1
Cartesian
2.420 -6.492 -2.603
2.473 -9.257 1.881
1.646 -5.902 0.805
0.802 -1.962 -1.191
```

Here is crystalline Li3Sm3PtO8 at its relaxed geometry from the Alexandria database. Energies are from PBE.

Calculated values
- E_form (uncorrected): -2.2835 eV/atom
- Space-group type: R-3m (166)
- Spin magnetization: 0.0 μB/f.u.
- Calculated total energy: -99.86 eV per formula unit

```
Li3Sm3PtO8
1.0
-2.760 4.918 3.824
-2.217 -1.017 -6.362
-0.993 -4.184 4.664
Li Sm Pt O
3 3 1 8
Cartesian
0.000 0.000 0.000
-1.109 -0.509 -3.181
-2.488 1.950 -1.269
-1.876 0.367 4.244
-2.985 -0.142 1.063
-1.605 -2.601 -0.849
-0.496 -2.092 2.332
-2.099 -0.375 -1.032
-3.871 0.092 3.159
-3.611 2.134 0.719
-2.358 -2.418 1.407
-4.599 1.681 -2.116
-1.370 -1.964 4.243
-3.070 -1.045 -4.236
-2.900 0.762 6.362
```

Here is crystalline CdTePd14 at its relaxed geometry from the Alexandria database. Energies are from PBE.

Calculated values
- E_form (uncorrected): -0.1251 eV/atom
- Space-group type: P4/mmm (123)
- Spin magnetization: 0.0 μB/f.u.
- Calculated total energy: -78.76 eV per formula unit

```
CdTePd14
1.0
-5.704 -0.616 0.239
0.649 -5.613 1.020
0.168 1.403 7.615
Cd Te Pd
1 1 14
Cartesian
-4.909 -1.241 0.337
-1.734 -3.739 0.727
-1.649 -3.038 4.535
-4.827 -0.539 4.144
-4.583 -4.047 0.847
-4.502 -3.346 4.654
-2.058 -0.934 0.217
-1.974 -0.231 4.025
-2.865 -4.240 6.730
-2.948 -4.934 2.965
-0.351 -1.142 6.104
-0.434 -1.835 2.339
-0.029 -3.932 6.613
-0.112 -4.627 2.844
-3.187 -1.449 6.222
-3.270 -2.142 2.459
```

Here is crystalline KPu3O8 at its relaxed geometry from the Alexandria database. Energies are from PBE.

Calculated values
- E_form (uncorrected): -2.4340 eV/atom
- Space-group type: P-3 (147)
- Spin magnetization: 9.0 μB/f.u.
- Calculated total energy: -112.97 eV per formula unit

```
KPu3O8
1.0
6.016 0.000 0.000
-3.008 5.210 0.000
0.000 0.000 7.360
K Pu O
1 3 8
Cartesian
0.000 0.000 3.680
3.008 1.737 6.776
0.000 3.474 0.583
0.000 0.000 0.000
4.109 0.249 0.906
1.169 1.528 0.906
3.747 3.434 0.906
-1.101 4.962 6.454
1.839 3.683 6.454
-0.738 1.777 6.454
3.008 1.737 4.905
0.000 3.474 2.455
```

Here is crystalline BaPrSm2Hg4 at its relaxed geometry from the Alexandria database. Energies are from PBE.

Calculated values
- Space-group type: R-3m (166)
- Formation enthalpy at 0 K: -0.426 eV/atom
- Spin magnetization: 0.3 μB/f.u.
- Calculated total energy: -20.75 eV per formula unit

```
BaPrSm2Hg4
1.0
5.512 0.000 0.000
2.756 4.774 0.000
2.756 1.591 9.114
Ba Pr Sm Hg
1 1 2 4
Cartesian
0.000 0.000 0.000
5.512 3.182 4.557
8.268 4.774 6.784
2.756 1.591 2.330
5.512 3.182 7.782
8.268 4.774 3.530
2.756 1.591 5.584
5.512 3.182 1.333
```

Here is crystalline ScMo2Br at its relaxed geometry from the Alexandria database. Energies are from PBE.

Calculated values
- E_form (uncorrected): 0.3634 eV/atom
- Space-group type: C2/m (12)
- E above lowest polymorph: 437.0 meV/atom
- Spin magnetization: 0.0 μB/f.u.
- Calculated total energy: -28.21 eV per formula unit

```
ScMo2Br
1.0
4.353 0.001 0.003
-2.162 5.500 -0.006
0.029 0.931 3.058
Br Mo Sc
1 2 1
Cartesian
1.095 2.750 -0.002
0.000 0.000 0.000
2.191 0.466 1.530
-1.067 3.216 1.526
```

Here is crystalline SrPrTm2Se4 at its relaxed geometry from the Alexandria database. Energies are from PBE.

Calculated values
- E_form (uncorrected): -1.7927 eV/atom
- Space-group type: P2/m (10)
- Spin magnetization: 0.0 μB/f.u.
- Calculated total energy: -43.68 eV per formula unit

```
SrPrTm2Se4
1.0
4.129 0.000 0.000
0.000 7.282 -0.195
0.000 2.514 6.766
Sr Pr Tm Se
1 1 2 4
Cartesian
0.000 4.898 3.286
2.065 6.155 6.669
0.000 2.514 6.766
2.064 1.257 3.383
0.000 7.493 4.875
4.129 2.303 1.697
2.065 6.240 1.484
2.064 3.556 5.088
```

Here is crystalline Ge2AsP at its relaxed geometry from the Alexandria database. Energies are from PBE.

Calculated values
- Space-group type: R-3m (166)
- E above lowest polymorph: 0.0 meV/atom
- Formation enthalpy at 0 K: 0.120 eV/atom
- Spin magnetization: 0.0 μB/f.u.
- Calculated total energy: -18.82 eV per formula unit

```
Ge2AsP
1.0
3.754 0.000 0.000
1.877 3.251 0.000
1.877 1.084 6.124
P As Ge
1 1 2
Cartesian
0.000 0.000 0.000
3.754 2.167 3.062
1.877 1.084 1.454
5.631 3.251 4.671
```

Here is crystalline DyPuU2Sb4 at its relaxed geometry from the Alexandria database. Energies are from PBE.

Calculated values
- E_form (uncorrected): -0.5191 eV/atom
- Space-group type: P2/m (10)
- Spin magnetization: 0.4 μB/f.u.
- Calculated total energy: -62.15 eV per formula unit

```
DyPuU2Sb4
1.0
4.335 0.000 0.000
0.000 7.499 0.126
0.000 -2.628 7.307
Dy Pu U Sb
1 1 2 4
Cartesian
2.167 3.749 0.063
0.000 0.000 0.000
2.167 -1.314 3.654
0.000 2.435 3.717
2.167 1.228 1.867
2.167 3.642 5.566
0.000 -0.084 5.508
0.000 4.955 1.926
```

Here is crystalline Mg3H2Ir4 at its relaxed geometry from the Alexandria database. Energies are from PBE.

Calculated values
- Space-group type: P1 (1)
- E above lowest polymorph: 17.6 meV/atom
- Spin magnetization: 0.0 μB/f.u.
- Calculated total energy: -48.38 eV per formula unit

```
Mg3H2Ir4
1.0
-2.767 0.035 -4.285
1.480 -3.984 1.336
-4.182 0.209 5.270
Mg H Ir
3 2 4
Cartesian
-0.900 -1.865 2.501
-3.793 -0.920 1.097
-0.793 -3.329 -2.010
-4.713 -0.576 3.135
-0.555 -3.827 3.698
-1.701 -3.827 4.976
-3.604 -1.942 5.280
-1.489 -0.650 -0.654
-2.004 -2.994 0.355
```

Here is crystalline Zr2SiIr at its relaxed geometry from the Alexandria database. Energies are from PBE.

Calculated values
- E_form (uncorrected): -0.7000 eV/atom
- Space-group type: Imm2 (44)
- Spin magnetization: 0.0 μB/f.u.
- Calculated total energy: -34.18 eV per formula unit

```
Zr2SiIr
1.0
5.755 0.006 0.107
3.148 4.818 -0.107
-4.177 -2.918 2.677
Ir Si Zr
1 1 2
Cartesian
4.286 2.322 0.000
2.080 2.356 1.285
8.877 4.810 0.000
2.836 -0.347 1.392
```

Here is crystalline HfInMoRh2 at its relaxed geometry from the Alexandria database. Energies are from PBE.

Calculated values
- Space-group type: P4/mmm (123)
- Formation enthalpy at 0 K: 1.040 eV/atom
- Spin magnetization: 0.0 μB/f.u.
- Calculated total energy: -33.02 eV per formula unit

```
HfInMoRh2
1.0
-4.253 -2.074 0.268
1.808 -3.297 3.172
-1.157 2.841 3.612
Rh Mo Hf In
2 1 1 1
Cartesian
-0.579 1.420 1.806
-2.126 -1.037 0.134
0.904 -1.649 1.586
0.000 0.000 0.000
-1.801 -1.265 3.527
```

Here is crystalline NbNi12Pd4 at its relaxed geometry from the Alexandria database. Energies are from PBE.

Calculated values
- Space-group type: Im-3m (229)
- Formation enthalpy at 0 K: 0.116 eV/atom
- Spin magnetization: 4.8 μB/f.u.
- Calculated total energy: -98.25 eV per formula unit

```
NbNi12Pd4
1.0
6.185 0.000 -2.187
-3.092 5.356 -2.187
0.000 0.000 6.560
Nb Ni Pd
1 12 4
Cartesian
0.000 0.000 0.000
-0.962 1.667 1.361
-2.130 3.689 3.012
2.130 3.689 -3.012
0.962 1.667 -1.361
1.925 0.000 1.361
4.260 0.000 3.012
2.319 1.339 3.280
0.773 4.017 -1.093
3.865 1.339 1.093
-0.773 4.017 1.093
3.092 2.678 -1.093
0.000 2.678 3.280
0.000 0.000 3.280
3.092 0.000 -1.093
1.546 2.678 1.093
-1.546 2.678 -1.093
```